Entry 1:
Density functional theory data (PBE) for crystalline CsPtCl3 at its relaxed geometry.

Cell lengths 8.8176, 8.9129, 10.6398 Å; angles 90.00, 114.85, 90.00 degrees
Fractional coordinates of all 20 atoms:
Cs: 0.2387 0.0764 0.2459
Cs: 0.2387 0.4236 0.7459
Cs: 0.7613 0.5764 0.2541
Cs: 0.7613 0.9236 0.7541
Pt: 0.3765 0.5906 0.4327
Pt: 0.3765 0.9094 0.9327
Pt: 0.6235 0.0906 0.0673
Pt: 0.6235 0.4094 0.5673
Cl: 0.1639 0.0843 0.8816
Cl: 0.1639 0.4157 0.3816
Cl: 0.2124 0.7392 0.9754
Cl: 0.2124 0.7608 0.4754
Cl: 0.4658 0.2138 0.5943
Cl: 0.4658 0.2862 0.0943
Cl: 0.5342 0.7138 0.9057
Cl: 0.5342 0.7862 0.4057
Cl: 0.7876 0.2392 0.5246
Cl: 0.7876 0.2608 0.0246
Cl: 0.8361 0.5843 0.6184
Cl: 0.8361 0.9157 0.1184

Values from the calculation:
Space-group type   P2_1/c (14)
Electronic total energy   -3.40 eV per atom
Calculated volume   37.94 Å³ per atom
N(E_F)   4.16 states/eV per cell
Total magnetization   0.000 Bohr magnetons per cell

***

Entry 2:
Density functional theory data (PBE) for crystalline MgTaAs at its relaxed geometry.

Cell lengths 3.1363, 3.1363, 6.7059 Å; angles 90.00, 90.00, 120.00 degrees
Fractional coordinates of all 3 atoms:
Mg: 0.0000 0.0000 0.0000
Ta: 0.6667 0.3333 0.3606
As: 0.3333 0.6667 0.6549

Values from the calculation:
Energy relative to the lowest polymorph listed for this composition   15.0 kJ/mol of atoms
Space-group type   P3m1 (156)
DFT formation energy   0.05 eV/atom
Calculated volume   19.04 Å³ per atom
N(E_F)   2.93 states/eV per cell
Total magnetization   0.000 Bohr magnetons per cell

***

Entry 3:
Density functional theory data (PBE) for crystalline MnFe2Ag at its relaxed geometry.

Cell lengths 2.5777, 2.5777, 8.5105 Å; angles 90.00, 90.00, 111.28 degrees
Fractional coordinates of all 4 atoms:
Mn: 0.0000 0.0000 0.0000
Fe: 0.5000 0.5000 0.2261
Fe: 0.5000 0.5000 0.7739
Ag: 0.0000 0.0000 0.5000

Values from the calculation:
Energy relative to the lowest polymorph listed for this composition   6.8 kJ/mol of atoms
Space-group type   Cmmm (65)
DFT formation energy   0.35 eV/atom
Calculated volume   13.17 Å³ per atom
N(E_F)   4.72 states/eV per cell
Total magnetization   6.098 Bohr magnetons per cell

***

Entry 4:
Density functional theory data (PBE) for crystalline SrCa2SmTe4 at its relaxed geometry.

Cell lengths 7.8685, 4.5265, 7.9013 Å; angles 90.00, 109.29, 90.00 degrees
Fractional coordinates of all 8 atoms:
Sr: 0.0000 0.0000 0.0000
Ca: 0.5000 0.0000 0.5000
Ca: 0.5000 0.5000 0.0000
Sm: 0.0000 0.5000 0.5000
Te: 0.2531 0.0000 0.7444
Te: 0.2577 0.5000 0.2602
Te: 0.7423 0.5000 0.7398
Te: 0.7469 0.0000 0.2556

Values from the calculation:
Space-group type   P2/m (10)
Electronic total energy   -4.45 eV per atom
Calculated volume   33.20 Å³ per atom
N(E_F)   2.60 states/eV per cell
Total magnetization   0.000 Bohr magnetons per cell

***

Entry 5:
Density functional theory data (PBE) for crystalline TiVCd2 at its relaxed geometry.

Cell lengths 4.7096, 4.7096, 4.7096 Å; angles 60.00, 60.00, 60.00 degrees
Fractional coordinates of all 4 atoms:
Ti: 0.0000 0.0000 0.0000
V: 0.5000 0.5000 0.5000
Cd: 0.2500 0.2500 0.2500
Cd: 0.7500 0.7500 0.7500

Values from the calculation:
Energy relative to the lowest polymorph listed for this composition   0.0 kJ/mol of atoms
Space-group type   Fm-3m (225)
DFT formation energy   0.31 eV/atom
Calculated volume   18.47 Å³ per atom
N(E_F)   4.97 states/eV per cell
Total magnetization   1.869 Bohr magnetons per cell

***

Entry 6:
Density functional theory data (PBE) for crystalline HfTaTiCu at its relaxed geometry.

Cell lengths 4.5966, 4.5966, 4.5966 Å; angles 60.00, 60.00, 60.00 degrees
Fractional coordinates of all 4 atoms:
Hf: 0.0000 0.0000 0.0000
Ta: 0.7500 0.7500 0.7500
Ti: 0.5000 0.5000 0.5000
Cu: 0.2500 0.2500 0.2500

Values from the calculation:
Space-group type   F-43m (216)
DFT formation energy   0.11 eV/atom
Calculated volume   17.17 Å³ per atom
N(E_F)   4.51 states/eV per cell
Total magnetization   0.000 Bohr magnetons per cell